1.
# Al3AgSb (PBEsol, optimized geometry)
# - total DFT energy (no corrections) (eV/atom) = -2.99
# - calculated volume (Å³/cell) = 143
# - size of the total moment (μB per formula unit) = 0.00
# - energy relative to the elements, uncorrected (eV/atom) = 1.036
data_Al3AgSb
_chemical_formula_sum 'Al3 Ag1 Sb1'
_cell_length_a 5.223
_cell_length_b 5.223
_cell_length_c 5.223
_cell_angle_alpha 90.00
_cell_angle_beta 90.00
_cell_angle_gamma 90.00
_symmetry_space_group_name_H-M 'P m -3 m'
_symmetry_Int_Tables_number 221
_symmetry_space_group_name_Hall '-P 4 2 3'
loop_
_atom_site_label
_atom_site_fract_x
_atom_site_fract_y
_atom_site_fract_z
Al1 0.000 0.000 0.500
Ag1 0.500 0.500 0.500
Sb1 0.000 0.000 0.000

=====

2.
# LaNOF2 (PBEsol, optimized geometry)
# - total DFT energy (no corrections) (eV/atom) = -5.92
# - energy above the lowest structure with this stoichiometry (meV/atom) = 0.0
# - calculated volume (Å³/cell) = 99
# - size of the total moment (μB per formula unit) = 4.07
# - energy relative to the elements, uncorrected (eV/atom) = -1.325
data_LaNOF2
_chemical_formula_sum 'La1 N1 O1 F2'
_cell_length_a 4.627
_cell_length_b 4.627
_cell_length_c 4.626
_cell_angle_alpha 90.00
_cell_angle_beta 90.00
_cell_angle_gamma 90.00
_symmetry_space_group_name_H-M 'P 4/m m m'
_symmetry_Int_Tables_number 123
_symmetry_space_group_name_Hall '-P 4 2'
loop_
_atom_site_label
_atom_site_fract_x
_atom_site_fract_y
_atom_site_fract_z
La1 0.000 0.000 0.000
N1 0.500 0.500 0.500
O1 0.000 0.000 0.500
F1 0.000 0.500 0.000

=====

3.
# Li3Au (PBEsol, optimized geometry)
# - total DFT energy (no corrections) (eV/atom) = -2.80
# - DFT formation energy (eV per formula unit) = -1.4
# - calculated volume (Å³/cell) = 121
# - size of the total moment (μB per formula unit) = 0.00
data_Li3Au
_chemical_formula_sum 'Li6 Au2'
_cell_length_a 4.952
_cell_length_b 4.952
_cell_length_c 4.952
_cell_angle_alpha 90.00
_cell_angle_beta 90.00
_cell_angle_gamma 90.00
_symmetry_space_group_name_H-M 'P m -3 n'
_symmetry_Int_Tables_number 223
_symmetry_space_group_name_Hall '-P 4n 2 3'
loop_
_atom_site_label
_atom_site_fract_x
_atom_site_fract_y
_atom_site_fract_z
Li1 0.000 0.250 0.500
Au1 0.000 0.000 0.000

=====

4.
# LiMo6Se8 (PBEsol, optimized geometry)
# - total DFT energy (no corrections) (eV/atom) = -7.52
# - calculated volume (Å³/cell) = 884
# - size of the total moment (μB per formula unit) = 0.00
# - energy relative to the elements, uncorrected (eV/atom) = -0.625
data_LiMo6Se8
_chemical_formula_sum 'Li3 Mo18 Se24'
_cell_length_a 9.5018
_cell_length_b 9.5018
_cell_length_c 11.3100
_cell_angle_alpha 90.00
_cell_angle_beta 90.00
_cell_angle_gamma 120.00
_symmetry_space_group_name_H-M 'R -3'
_symmetry_Int_Tables_number 148
_symmetry_space_group_name_Hall '-R 3'
loop_
_atom_site_label
_atom_site_fract_x
_atom_site_fract_y
_atom_site_fract_z
Li1 0.0000 0.0000 0.0000
Mo1 0.0190 0.1709 0.3988
Se1 0.0000 0.0000 0.2225
Se2 0.0026 0.3754 0.2495

=====

5.
# TaSiSb2Te (PBEsol, optimized geometry)
# - total DFT energy (no corrections) (eV/atom) = -5.36
# - calculated volume (Å³/cell) = 148
# - size of the total moment (μB per formula unit) = 0.37
# - energy relative to the elements, uncorrected (eV/atom) = 0.826
data_TaSiSb2Te
_chemical_formula_sum 'Ta1 Si1 Sb2 Te1'
_cell_length_a 5.317
_cell_length_b 5.317
_cell_length_c 5.228
_cell_angle_alpha 90.00
_cell_angle_beta 90.00
_cell_angle_gamma 90.00
_symmetry_space_group_name_H-M 'P 4/m m m'
_symmetry_Int_Tables_number 123
_symmetry_space_group_name_Hall '-P 4 2'
loop_
_atom_site_label
_atom_site_fract_x
_atom_site_fract_y
_atom_site_fract_z
Ta1 0.000 0.000 0.000
Si1 0.500 0.500 0.500
Sb1 0.000 0.500 0.000
Te1 0.000 0.000 0.500

=====

6.
# Cr3NiI (PBEsol, optimized geometry)
# - total DFT energy (no corrections) (eV/atom) = -6.47
# - energy above the lowest structure with this stoichiometry (meV/atom) = 0.0
# - calculated volume (Å³/cell) = 96
# - size of the total moment (μB per formula unit) = 11.50
# - energy relative to the elements, uncorrected (eV/atom) = 1.265
data_Cr3NiI
_chemical_formula_sum 'Cr3 Ni1 I1'
_cell_length_a 4.582
_cell_length_b 4.582
_cell_length_c 4.582
_cell_angle_alpha 90.00
_cell_angle_beta 90.00
_cell_angle_gamma 90.00
_symmetry_space_group_name_H-M 'P m -3 m'
_symmetry_Int_Tables_number 221
_symmetry_space_group_name_Hall '-P 4 2 3'
loop_
_atom_site_label
_atom_site_fract_x
_atom_site_fract_y
_atom_site_fract_z
Cr1 0.000 0.000 0.500
Ni1 0.000 0.000 0.000
I1 0.500 0.500 0.500

=====

7.
# HfRhW3 (PBEsol, optimized geometry)
# - total DFT energy (no corrections) (eV/atom) = -10.32
# - DFT formation energy (eV per formula unit) = 8.5
# - calculated volume (Å³/cell) = 100
# - size of the total moment (μB per formula unit) = 0.00
data_HfRhW3
_chemical_formula_sum 'Hf1 Rh1 W3'
_cell_length_a 4.648
_cell_length_b 4.648
_cell_length_c 4.648
_cell_angle_alpha 90.00
_cell_angle_beta 90.00
_cell_angle_gamma 90.00
_symmetry_space_group_name_H-M 'P m -3 m'
_symmetry_Int_Tables_number 221
_symmetry_space_group_name_Hall '-P 4 2 3'
loop_
_atom_site_label
_atom_site_fract_x
_atom_site_fract_y
_atom_site_fract_z
Hf1 0.000 0.000 0.000
Rh1 0.500 0.500 0.500
W1 0.000 0.500 0.500

=====

8.
# ZnGaSbPt2 (PBEsol, optimized geometry)
# - total DFT energy (no corrections) (eV/atom) = -4.30
# - calculated volume (Å³/cell) = 98
# - size of the total moment (μB per formula unit) = 0.00
# - energy relative to the elements, uncorrected (eV/atom) = 0.382
data_ZnGaSbPt2
_chemical_formula_sum 'Zn1 Ga1 Sb1 Pt2'
_cell_length_a 4.681
_cell_length_b 4.681
_cell_length_c 4.467
_cell_angle_alpha 90.00
_cell_angle_beta 90.00
_cell_angle_gamma 90.00
_symmetry_space_group_name_H-M 'P 4/m m m'
_symmetry_Int_Tables_number 123
_symmetry_space_group_name_Hall '-P 4 2'
loop_
_atom_site_label
_atom_site_fract_x
_atom_site_fract_y
_atom_site_fract_z
Zn1 0.000 0.000 0.000
Ga1 0.000 0.000 0.500
Sb1 0.500 0.500 0.000
Pt1 0.000 0.500 0.500